(1)
Density functional theory data (PBE) for crystalline DyAg2Br5 at its relaxed geometry.

Properties
Formation energy from raw total energies   -1.055 eV per atom

Cell lengths 5.6869, 7.5403, 7.6094 Å; angles 82.34, 69.17, 68.85 degrees
Fractional coordinates of all 8 atoms:
Dy: 0.0000 0.0000 0.0000
Ag: 0.5003 0.5220 0.9593
Ag: 0.5119 0.9971 0.4954
Br: 0.0495 0.6690 0.2196
Br: 0.2709 0.7677 0.6721
Br: 0.5093 0.9935 0.9916
Br: 0.7438 0.2301 0.3185
Br: 0.9769 0.3234 0.7675


(2)
Density functional theory data (PBE) for crystalline K2DyAgBr6 at its relaxed geometry.

Properties
Formation energy from raw total energies   -1.529 eV per atom

Cell lengths 7.6608, 8.0655, 13.1958 Å; angles 90.00, 124.96, 90.00 degrees
Fractional coordinates of all 20 atoms:
K: 0.2228 0.0782 0.2485
K: 0.2228 0.4218 0.7485
K: 0.7772 0.5782 0.2515
K: 0.7772 0.9218 0.7515
Dy: 0.5000 0.0000 0.0000
Dy: 0.5000 0.5000 0.5000
Ag: 0.0000 0.0000 0.5000
Ag: 0.0000 0.5000 0.0000
Br: 0.1513 0.1902 0.9492
Br: 0.1513 0.3098 0.4492
Br: 0.2637 0.7069 0.9500
Br: 0.2637 0.7931 0.4500
Br: 0.3526 0.0240 0.7501
Br: 0.3526 0.4760 0.2501
Br: 0.6474 0.5240 0.7499
Br: 0.6474 0.9760 0.2499
Br: 0.7363 0.2069 0.5500
Br: 0.7363 0.2931 0.0500
Br: 0.8487 0.6902 0.5508
Br: 0.8487 0.8098 0.0508


(3)
Density functional theory data (PBE) for crystalline KDyAgBr5 at its relaxed geometry.

Properties
Formation energy from raw total energies   -1.456 eV per atom

Cell lengths 7.9477, 7.9477, 10.6375 Å; angles 102.28, 102.28, 109.49 degrees
Fractional coordinates of all 16 atoms:
K: 0.1478 0.8522 0.7500
K: 0.8522 0.1478 0.2500
Dy: 0.5000 0.5000 0.0000
Dy: 0.5000 0.5000 0.5000
Ag: 0.1888 0.8112 0.2500
Ag: 0.8112 0.1888 0.7500
Br: 0.1300 0.2475 0.9441
Br: 0.1884 0.5787 0.4004
Br: 0.2475 0.1300 0.4441
Br: 0.4213 0.8116 0.0996
Br: 0.4216 0.5784 0.7500
Br: 0.5784 0.4216 0.2500
Br: 0.5787 0.1884 0.9004
Br: 0.7525 0.8700 0.5559
Br: 0.8116 0.4213 0.5996
Br: 0.8700 0.7525 0.0559


(4)
Density functional theory data (PBE) for crystalline KDyAg2Br6 at its relaxed geometry.

Properties
Formation energy from raw total energies   -1.216 eV per atom

Cell lengths 8.0379, 8.0379, 8.0379 Å; angles 54.96, 54.96, 54.96 degrees
Fractional coordinates of all 10 atoms:
K: 0.0000 0.0000 0.0000
Dy: 0.4831 0.4831 0.4831
Ag: 0.2943 0.2943 0.2943
Ag: 0.8099 0.8099 0.8099
Br: 0.0772 0.6574 0.4532
Br: 0.2291 0.5538 0.8827
Br: 0.4532 0.0772 0.6574
Br: 0.5538 0.8827 0.2291
Br: 0.6574 0.4532 0.0772
Br: 0.8827 0.2291 0.5538


(5)
Density functional theory data (PBE) for crystalline K3DyAg2Br9 at its relaxed geometry.

Properties
Formation energy from raw total energies   -1.256 eV per atom

Cell lengths 7.8217, 7.8217, 9.7524 Å; angles 90.00, 90.00, 120.00 degrees
Fractional coordinates of all 15 atoms:
K: 0.0000 0.0000 0.0000
K: 0.3333 0.6667 0.7193
K: 0.6667 0.3333 0.2807
Dy: 0.0000 0.0000 0.5000
Ag: 0.3333 0.6667 0.1581
Ag: 0.6667 0.3333 0.8419
Br: 0.0000 0.5000 0.0000
Br: 0.1657 0.3314 0.3316
Br: 0.1657 0.8343 0.3316
Br: 0.3314 0.1657 0.6684
Br: 0.5000 0.0000 0.0000
Br: 0.5000 0.5000 0.0000
Br: 0.6686 0.8343 0.3316
Br: 0.8343 0.1657 0.6684
Br: 0.8343 0.6686 0.6684


(6)
Density functional theory data (PBE) for crystalline KDy2AgBr8 at its relaxed geometry.

Properties
Formation energy from raw total energies   -1.562 eV per atom

Cell lengths 6.9962, 8.5697, 7.2459 Å; angles 90.00, 96.81, 90.00 degrees
Fractional coordinates of all 12 atoms:
K: 0.0000 0.0000 0.0000
Dy: 0.5000 0.2573 0.5000
Dy: 0.5000 0.7427 0.5000
Ag: 0.0000 0.5000 0.0000
Br: 0.2622 0.2750 0.1666
Br: 0.2622 0.7250 0.1666
Br: 0.2766 0.5000 0.6348
Br: 0.2869 0.0000 0.6287
Br: 0.7131 0.0000 0.3713
Br: 0.7234 0.5000 0.3652
Br: 0.7378 0.2750 0.8334
Br: 0.7378 0.7250 0.8334


(7)
Density functional theory data (PBE) for crystalline K2DyAg2Br6 at its relaxed geometry.

Properties
Formation energy from raw total energies   -1.224 eV per atom

Cell lengths 7.6869, 7.6869, 8.4625 Å; angles 113.21, 113.21, 66.26 degrees
Fractional coordinates of all 11 atoms:
K: 0.2199 0.2199 0.1405
K: 0.7801 0.7801 0.8595
Dy: 0.0000 0.0000 0.5000
Ag: 0.4433 0.4433 0.8175
Ag: 0.5567 0.5567 0.1825
Br: 0.1610 0.7000 0.2251
Br: 0.2261 0.2261 0.5297
Br: 0.3000 0.8390 0.7749
Br: 0.7000 0.1610 0.2251
Br: 0.7739 0.7739 0.4703
Br: 0.8390 0.3000 0.7749


(8)
Density functional theory data (PBE) for crystalline KDyAg2Br8 at its relaxed geometry.

Properties
Formation energy from raw total energies   -0.922 eV per atom

Cell lengths 9.1289, 9.1289, 9.1289 Å; angles 134.09, 134.09, 66.95 degrees
Fractional coordinates of all 12 atoms:
K: 0.0000 0.0000 0.0000
Dy: 0.2500 0.7500 0.5000
Ag: 0.5000 0.5000 0.0000
Ag: 0.7500 0.2500 0.5000
Br: 0.2701 0.7045 0.1536
Br: 0.2955 0.4491 0.5656
Br: 0.3937 0.0097 0.0279
Br: 0.5509 0.1165 0.8464
Br: 0.6341 0.6063 0.6160
Br: 0.8835 0.7299 0.4344
Br: 0.9818 0.3659 0.9721
Br: 0.9903 0.0182 0.3840


(9)
Density functional theory data (PBE) for crystalline Li2DyAgBr6 at its relaxed geometry.

Properties
Formation energy from raw total energies   -1.405 eV per atom

Cell lengths 7.6159, 7.6159, 7.6159 Å; angles 54.97, 54.97, 54.97 degrees
Fractional coordinates of all 10 atoms:
Li: 0.0000 0.0000 0.0000
Li: 0.4902 0.4902 0.4902
Dy: 0.8083 0.8083 0.8083
Ag: 0.2915 0.2915 0.2915
Br: 0.0869 0.3987 0.7225
Br: 0.2240 0.8760 0.6059
Br: 0.3987 0.7225 0.0869
Br: 0.6059 0.2240 0.8760
Br: 0.7225 0.0869 0.3987
Br: 0.8760 0.6059 0.2240


(10)
Density functional theory data (PBE) for crystalline DyMnAgBr6 at its relaxed geometry.

Properties
Formation energy from raw total energies   -1.138 eV per atom

Cell lengths 6.9543, 6.9543, 12.9603 Å; angles 90.00, 90.00, 120.00 degrees
Fractional coordinates of all 18 atoms:
Dy: 0.3333 0.6667 0.2500
Dy: 0.6667 0.3333 0.7500
Mn: 0.3333 0.6667 0.7500
Mn: 0.6667 0.3333 0.2500
Ag: 0.0000 0.0000 0.0000
Ag: 0.0000 0.0000 0.5000
Br: 0.0122 0.3546 0.6290
Br: 0.0122 0.6576 0.8710
Br: 0.3424 0.3546 0.8710
Br: 0.3424 0.9878 0.6290
Br: 0.3546 0.0122 0.1290
Br: 0.3546 0.3424 0.3710
Br: 0.6454 0.6576 0.6290
Br: 0.6454 0.9878 0.8710
Br: 0.6576 0.0122 0.3710
Br: 0.6576 0.6454 0.1290
Br: 0.9878 0.3424 0.1290
Br: 0.9878 0.6454 0.3710


(11)
Density functional theory data (PBE) for crystalline NaDyAg2Br6 at its relaxed geometry.

Properties
Formation energy from raw total energies   -1.177 eV per atom

Cell lengths 7.8630, 7.8630, 7.8630 Å; angles 54.95, 54.95, 54.95 degrees
Fractional coordinates of all 10 atoms:
Na: 0.0000 0.0000 0.0000
Dy: 0.4939 0.4939 0.4939
Ag: 0.3047 0.3047 0.3047
Ag: 0.8105 0.8105 0.8105
Br: 0.0959 0.7079 0.4160
Br: 0.2358 0.5843 0.8900
Br: 0.4160 0.0959 0.7079
Br: 0.5843 0.8900 0.2358
Br: 0.7079 0.4160 0.0959
Br: 0.8900 0.2358 0.5843


(12)
Density functional theory data (PBE) for crystalline Na2DyAgBr6 at its relaxed geometry.

Properties
Formation energy from raw total energies   -1.428 eV per atom

Cell lengths 7.3732, 7.3794, 7.8464 Å; angles 90.11, 117.95, 119.92 degrees
Fractional coordinates of all 10 atoms:
Na: 0.0000 0.0000 0.0000
Na: 0.0186 0.5095 0.5272
Dy: 0.6224 0.3117 0.9333
Ag: 0.5982 0.8000 0.3981
Br: 0.1088 0.4138 0.2014
Br: 0.1338 0.1984 0.7057
Br: 0.5066 0.0936 0.2016
Br: 0.5080 0.9360 0.7051
Br: 0.7701 0.5725 0.7057
Br: 0.7881 0.6960 0.2019


(13)
Density functional theory data (PBE) for crystalline NaDyAgBr5 at its relaxed geometry.

Properties
Formation energy from raw total energies   -1.386 eV per atom

Cell lengths 7.9755, 7.9755, 10.4150 Å; angles 100.37, 100.37, 117.82 degrees
Fractional coordinates of all 16 atoms:
Na: 0.0662 0.9338 0.7500
Na: 0.9338 0.0662 0.2500
Dy: 0.5000 0.5000 0.0000
Dy: 0.5000 0.5000 0.5000
Ag: 0.2181 0.7819 0.2500
Ag: 0.7819 0.2181 0.7500
Br: 0.0872 0.2589 0.9545
Br: 0.1566 0.4943 0.3707
Br: 0.2589 0.0872 0.4545
Br: 0.4187 0.5813 0.7500
Br: 0.4943 0.1566 0.8707
Br: 0.5057 0.8434 0.1293
Br: 0.5813 0.4187 0.2500
Br: 0.7411 0.9128 0.5455
Br: 0.8434 0.5057 0.6293
Br: 0.9128 0.7411 0.0455


(14)
Density functional theory data (PBE) for crystalline Rb3DyAg2Br9 at its relaxed geometry.

Properties
Formation energy from raw total energies   -1.291 eV per atom

Cell lengths 7.8656, 7.8656, 9.7815 Å; angles 90.00, 90.00, 120.00 degrees
Fractional coordinates of all 15 atoms:
Rb: 0.0000 0.0000 0.0000
Rb: 0.3333 0.6667 0.6906
Rb: 0.6667 0.3333 0.3094
Dy: 0.0000 0.0000 0.5000
Ag: 0.3333 0.6667 0.1546
Ag: 0.6667 0.3333 0.8454
Br: 0.0000 0.5000 0.0000
Br: 0.1668 0.3336 0.3351
Br: 0.1668 0.8332 0.3351
Br: 0.3336 0.1668 0.6649
Br: 0.5000 0.0000 0.0000
Br: 0.5000 0.5000 0.0000
Br: 0.6664 0.8332 0.3351
Br: 0.8332 0.1668 0.6649
Br: 0.8332 0.6664 0.6649


(15)
Density functional theory data (PBE) for crystalline Rb2DyAgBr6 at its relaxed geometry.

Properties
Formation energy from raw total energies   -1.541 eV per atom

Cell lengths 7.8624, 8.0929, 13.5387 Å; angles 90.00, 125.28, 90.00 degrees
Fractional coordinates of all 20 atoms:
Rb: 0.2323 0.0604 0.2491
Rb: 0.2323 0.4396 0.7491
Rb: 0.7677 0.5604 0.2509
Rb: 0.7677 0.9396 0.7509
Dy: 0.5000 0.0000 0.0000
Dy: 0.5000 0.5000 0.5000
Ag: 0.0000 0.0000 0.5000
Ag: 0.0000 0.5000 0.0000
Br: 0.1742 0.1999 0.9612
Br: 0.1742 0.3001 0.4612
Br: 0.2650 0.7147 0.9631
Br: 0.2650 0.7853 0.4631
Br: 0.3270 0.0114 0.7512
Br: 0.3270 0.4886 0.2512
Br: 0.6730 0.5114 0.7488
Br: 0.6730 0.9886 0.2488
Br: 0.7350 0.2147 0.5369
Br: 0.7350 0.2853 0.0369
Br: 0.8258 0.6999 0.5388
Br: 0.8258 0.8001 0.0388


(16)
Density functional theory data (PBE) for crystalline RbDyAg2Br8 at its relaxed geometry.

Properties
Formation energy from raw total energies   -0.919 eV per atom

Cell lengths 9.3384, 9.3384, 9.3384 Å; angles 135.04, 135.04, 65.47 degrees
Fractional coordinates of all 12 atoms:
Rb: 0.0000 0.0000 0.0000
Dy: 0.2500 0.7500 0.5000
Ag: 0.5000 0.5000 0.0000
Ag: 0.7500 0.2500 0.5000
Br: 0.2768 0.6956 0.1597
Br: 0.3044 0.4641 0.5812
Br: 0.3960 0.0141 0.0282
Br: 0.5359 0.1171 0.8403
Br: 0.6323 0.6040 0.6181
Br: 0.8829 0.7232 0.4188
Br: 0.9859 0.0141 0.3819
Br: 0.9859 0.3677 0.9718


(17)
Density functional theory data (PBE) for crystalline DyAgSnBr6 at its relaxed geometry.

Properties
Formation energy from raw total energies   -1.134 eV per atom

Cell lengths 7.2046, 7.2046, 13.2875 Å; angles 90.00, 90.00, 120.00 degrees
Fractional coordinates of all 18 atoms:
Dy: 0.3333 0.6667 0.2500
Dy: 0.6667 0.3333 0.7500
Ag: 0.3333 0.6667 0.7500
Ag: 0.6667 0.3333 0.2500
Sn: 0.0000 0.0000 0.0000
Sn: 0.0000 0.0000 0.5000
Br: 0.0086 0.3510 0.1278
Br: 0.0086 0.6576 0.3722
Br: 0.3424 0.3510 0.3722
Br: 0.3424 0.9914 0.1278
Br: 0.3510 0.0086 0.6278
Br: 0.3510 0.3424 0.8722
Br: 0.6490 0.6576 0.1278
Br: 0.6490 0.9914 0.3722
Br: 0.6576 0.0086 0.8722
Br: 0.6576 0.6490 0.6278
Br: 0.9914 0.3424 0.6278
Br: 0.9914 0.6490 0.8722


(18)
Density functional theory data (PBE) for crystalline SrDyAgBr6 at its relaxed geometry.

Properties
Formation energy from raw total energies   -1.583 eV per atom

Cell lengths 6.9546, 6.9546, 13.0654 Å; angles 90.00, 90.00, 90.00 degrees
Fractional coordinates of all 18 atoms:
Sr: 0.0000 0.0000 0.0000
Sr: 0.5000 0.5000 0.5000
Dy: 0.0000 0.0000 0.6648
Dy: 0.5000 0.5000 0.1648
Ag: 0.0000 0.0000 0.3281
Ag: 0.5000 0.5000 0.8281
Br: 0.1876 0.1876 0.5010
Br: 0.1981 0.1981 0.8183
Br: 0.2115 0.2115 0.1719
Br: 0.2885 0.7115 0.6719
Br: 0.3019 0.6981 0.3183
Br: 0.3124 0.6876 0.0010
Br: 0.6876 0.3124 0.0010
Br: 0.6981 0.3019 0.3183
Br: 0.7115 0.2885 0.6719
Br: 0.7885 0.7885 0.1719
Br: 0.8019 0.8019 0.8183
Br: 0.8124 0.8124 0.5010


(19)
Density functional theory data (PBE) for crystalline DyTl2Ag2Br6 at its relaxed geometry.

Properties
Formation energy from raw total energies   -0.921 eV per atom

Cell lengths 7.7903, 7.7903, 8.0843 Å; angles 117.52, 117.52, 68.68 degrees
Fractional coordinates of all 11 atoms:
Dy: 0.0000 0.0000 0.0000
Tl: 0.2271 0.2271 0.6960
Tl: 0.7729 0.7729 0.3040
Ag: 0.4641 0.4641 0.1323
Ag: 0.5359 0.5359 0.8677
Br: 0.1667 0.7344 0.7034
Br: 0.2548 0.2548 0.1555
Br: 0.2656 0.8333 0.2966
Br: 0.7344 0.1667 0.7034
Br: 0.7452 0.7452 0.8445
Br: 0.8333 0.2656 0.2966


Number 1: magnetic moment 0.00 μB/atom. Number 2: magnetic moment 0.00 μB/atom. Number 3: magnetic moment 0.00 μB/atom. Number 4: magnetic moment 0.00 μB/atom. Number 5: magnetic moment 0.00 μB/atom. Number 6: magnetic moment 0.00 μB/atom. Number 7: magnetic moment 0.08 μB/atom. Number 8: magnetic moment 0.00 μB/atom. Number 9: magnetic moment 0.00 μB/atom. Number 10: magnetic moment 0.56 μB/atom. Number 11: magnetic moment 0.00 μB/atom. Number 12: magnetic moment 0.00 μB/atom. Number 13: magnetic moment 0.00 μB/atom. Number 14: magnetic moment 0.00 μB/atom. Number 15: magnetic moment 0.00 μB/atom. Number 16: magnetic moment 0.00 μB/atom. Number 17: magnetic moment 0.00 μB/atom. Number 18: magnetic moment 0.00 μB/atom. Number 19: magnetic moment 0.00 μB/atom.